Entry 1:
Ba2MgCdO | PBE | relaxed

The structure in POSCAR format:
```
Ba2MgCdO
1.0
5.842 0.000 0.000
0.000 5.842 0.000
0.000 0.000 4.251
Ba Mg Cd O
2 1 1 1
Cartesian
0.000 2.921 0.000
2.921 0.000 0.000
0.000 0.000 2.126
2.921 2.921 2.126
0.000 0.000 0.000
```

Properties
space-group type	P4/mmm, No. 123
volume	29.02	Å³ per atom
uncorrected formation energy	-1006	meV per atom

Entry 2:
ZrTl3Br2Cl6 | PBE | relaxed

The structure in POSCAR format:
```
ZrTl3Br2Cl6
1.0
7.852 -4.236 0.000
7.852 4.236 0.000
-0.062 0.000 6.359
Zr Tl Br Cl
1 3 2 6
Cartesian
0.000 0.000 0.000
3.926 2.118 0.000
3.926 -2.118 0.000
7.821 0.000 3.180
5.270 0.000 4.470
10.373 0.000 1.889
2.022 0.000 1.458
6.788 2.466 1.419
8.854 2.466 4.941
6.788 -2.466 1.419
8.854 -2.466 4.941
13.620 0.000 4.901
```

Properties
space-group type	C2/m, No. 12
volume	35.26	Å³ per atom
uncorrected formation energy	-1212	meV per atom

Entry 3:
Li2Ti5Sb3O2 | PBE | relaxed

The structure in POSCAR format:
```
Li2Ti5Sb3O2
1.0
-2.049 2.049 11.917
2.049 -2.049 11.917
2.049 2.049 -11.917
Li Ti Sb O
2 5 3 2
Cartesian
0.000 0.000 4.773
0.000 0.000 19.062
0.000 0.000 0.000
2.049 0.000 2.240
2.049 0.000 9.678
0.000 2.049 2.240
0.000 2.049 9.678
0.000 0.000 7.623
0.000 0.000 11.917
0.000 0.000 16.211
0.000 0.000 2.221
0.000 0.000 21.613
```

Properties
space-group type	I4/mmm, No. 139
volume	16.68	Å³ per atom
uncorrected formation energy	-1153	meV per atom

Entry 4:
NaP3H12 | PBE | relaxed

The structure in POSCAR format:
```
NaP3H12
1.0
4.479 2.586 6.183
-4.479 2.586 6.183
0.000 -5.172 6.183
Na P H
2 6 24
Cartesian
0.000 0.000 0.000
0.000 0.000 9.275
-2.859 0.722 7.972
-1.621 -1.864 11.064
0.804 -2.836 7.972
-0.804 2.336 11.064
2.054 2.115 7.972
2.425 -0.471 11.064
-1.573 -2.117 5.838
-0.801 -0.068 2.287
-3.433 -0.165 8.930
-2.714 -2.897 10.740
0.459 -0.660 2.287
-1.765 -0.311 7.649
0.342 0.728 2.287
-2.508 -1.155 11.934
-0.254 -2.423 8.843
-1.972 1.431 8.843
-1.046 2.421 5.838
1.152 -1.373 7.649
1.860 -2.890 8.930
-0.459 -0.660 11.562
2.620 -0.304 5.838
0.613 1.684 7.649
-0.342 0.728 11.562
-1.152 3.799 10.740
0.801 -0.068 11.562
2.226 0.992 8.843
2.254 -1.594 11.934
0.254 2.749 11.934
1.573 3.056 8.930
3.866 -0.902 10.740
```

Properties
space-group type	R3c, No. 161
calculated total energy	-0.251	Ry per atom
volume	13.43	Å³ per atom

Entry 5:
Er2TmPd2 | PBE | relaxed

The structure in POSCAR format:
```
Er2TmPd2
1.0
7.691 0.000 0.000
0.000 7.691 0.000
0.000 0.000 3.953
Er Tm Pd
4 2 4
Cartesian
1.262 2.583 0.000
2.583 6.428 0.000
5.108 1.262 0.000
6.428 5.108 0.000
0.000 0.000 1.977
3.845 3.845 1.977
1.037 4.882 1.977
2.809 1.037 1.977
4.882 6.654 1.977
6.654 2.809 1.977
```

Properties
space-group type	P4/mbm, No. 127
volume	23.38	Å³ per atom
E above lowest polymorph	0.0	meV per atom

Entry 6:
Pr4YEr2Sc | PBE | relaxed

The structure in POSCAR format:
```
Pr4YEr2Sc
1.0
5.137 0.000 0.000
0.000 5.149 0.000
0.000 0.000 9.867
Pr Y Er Sc
4 1 2 1
Cartesian
0.000 0.000 2.406
0.000 0.000 7.460
2.569 2.574 2.407
2.569 2.574 7.460
0.000 2.574 4.933
0.000 2.574 0.000
2.569 0.000 4.933
2.569 0.000 0.000
```

Properties
space-group type	Pmmm, No. 47
calculated total energy	-0.375	Ry per atom
volume	32.62	Å³ per atom